(1)
The following is a GGA-PBE calculation of SrBOs3 after structural relaxation, from Alexandria.

a = 4.2956 Å, b = 4.2956 Å, c = 4.2956 Å
α = 90.00°, β = 90.00°, γ = 90.00°
Last column: nearest neighbours and their distance in Å.
Space group Pm-3m (No. 221)
Symmetry-distinct sites (fractional):
Sr1 0.0000 0.0000 0.0000  12 Os 3.04
B1 0.5000 0.5000 0.5000  6 Os 2.15
Os1 0.0000 0.5000 0.5000  2 B 2.15

Results
Its formation energy is 14.081 kcal/mol of atoms. The spin magnetization comes out at 1.48 μB/cell. For the density of states at the Fermi level, the calculation gives 7.08 states/eV per cell. The volume comes out at 15.85 A^3/atom. The value obtained for the raw total energy is -38.995 eV for the cell shown. The calculation puts the energy relative to the lowest polymorph listed for this composition at 0 meV/atom.

***

(2)
The following is a GGA-PBE calculation of SrBOs3 after structural relaxation, from Alexandria.

a = 4.9440 Å, b = 4.9440 Å, c = 4.9440 Å
α = 90.00°, β = 90.00°, γ = 90.00°
Last column: nearest neighbours and their distance in Å.
Space group Pm-3m (No. 221)
Symmetry-distinct sites (fractional):
Sr1 0.0000 0.0000 0.0000  6 Os 2.47
B1 0.5000 0.5000 0.5000  12 Os 3.50
Os1 0.0000 0.0000 0.5000  2 Sr 2.47

Results
Its formation energy is 104.023 kcal/mol of atoms. The spin magnetization comes out at 5.00 μB/cell. For the density of states at the Fermi level, the calculation gives 3.95 states/eV per cell. The volume comes out at 24.17 A^3/atom. The value obtained for the raw total energy is -19.494 eV for the cell shown. The calculation puts the energy relative to the lowest polymorph listed for this composition at 3900 meV/atom.

***

(3)
The following is a GGA-PBE calculation of SrB2Os after structural relaxation, from Alexandria.

a = 6.0608 Å, b = 6.0608 Å, c = 6.0608 Å
α = 90.00°, β = 90.00°, γ = 90.00°
Last column: nearest neighbours and their distance in Å.
Space group Fm-3m (No. 225)
Symmetry-distinct sites (fractional):
Sr1 0.0000 0.0000 0.0000  8 B 2.62
B1 0.2500 0.2500 0.2500  4 Os 2.62, 4 Sr 2.62
Os1 0.0000 0.0000 0.5000  8 B 2.62

Results
Its formation energy is 28.374 kcal/mol of atoms. The spin magnetization comes out at 0.00 μB/cell. For the density of states at the Fermi level, the calculation gives 19.45 states/eV per cell. The volume comes out at 13.91 A^3/atom. The value obtained for the raw total energy is -85.379 eV for the cell shown. The calculation puts the energy relative to the lowest polymorph listed for this composition at 1257 meV/atom.

***

(4)
The following is a GGA-PBE calculation of SrB4Os4 after structural relaxation, from Alexandria.

a = 7.6649 Å, b = 7.6649 Å, c = 4.0112 Å
α = 90.00°, β = 90.00°, γ = 90.00°
Last column: nearest neighbours and their distance in Å.
Space group P4_2/n (No. 86, origin choice 2)
Symmetry-distinct sites (fractional):
Sr1 0.2500 0.2500 0.2500  8 B 2.95-3.09, 8 Os 3.24
B1 0.0325 0.9151 0.1391  1 B 1.79
Os1 0.1044 0.6425 0.1373  4 B 2.16-2.19

Results
Its formation energy is -5.500 kcal/mol of atoms. The spin magnetization comes out at 0.00 μB/cell. For the density of states at the Fermi level, the calculation gives 13.57 states/eV per cell. The volume comes out at 13.09 A^3/atom. The value obtained for the raw total energy is -150.914 eV for the cell shown.

***

Q: Which value of spin magnetization does entry 4 give?
A: 0.00 μB/cell